(1)
DFT (GGA+U) results for a geometry-optimized MnPd2F structure.

a b c (Å): 6.9173 6.9173 5.5517
angles (deg): 51.46 51.46 90.00
Each line ends with the local moment (μB).
Fractional coordinates of all 8 atoms:
Mn1 0.0000 0.0000 0.0000  4.54
Mn2 0.7500 0.2500 0.5000  4.54
Pd1 0.5866 0.1250 0.2500  0.10
Pd2 0.1634 0.6250 0.2500  0.10
Pd3 0.3750 0.4134 0.7500  0.10
Pd4 0.8750 0.8366 0.7500  0.09
F1 0.5000 0.5000 0.0000  0.04
F2 0.2500 0.7500 0.5000  0.04

Summary:
Polymorph energy (0 for the lowest one): 0.044 eV/f.u.
E: -5.21 eV/atom

(2)
DFT (GGA+U) results for a geometry-optimized Rb2Mn3PdF12 structure.

a b c (Å): 7.6166 7.6166 7.6166
angles (deg): 59.55 59.55 59.55
Each line ends with the local moment (μB).
Fractional coordinates of all 18 atoms:
Rb1 0.6239 0.6239 0.6239  0.00
Rb2 0.3761 0.3761 0.3761  0.00
Mn1 0.5000 0.0000 0.0000  4.41
Mn2 0.0000 0.5000 0.0000  4.41
Mn3 0.0000 0.0000 0.5000  4.41
Pd1 0.0000 0.0000 0.0000  0.92
F1 0.3165 0.3165 0.9289  0.00
F2 0.9218 0.9218 0.3294  0.06
F3 0.3294 0.9218 0.9218  0.06
F4 0.9289 0.3165 0.3165  0.00
F5 0.9218 0.3294 0.9218  0.06
F6 0.3165 0.9289 0.3165  0.00
F7 0.6835 0.6835 0.0711  0.00
F8 0.0782 0.0782 0.6706  0.06
F9 0.6706 0.0782 0.0782  0.06
F10 0.0711 0.6835 0.6835  0.00
F11 0.0782 0.6706 0.0782  0.06
F12 0.6835 0.0711 0.6835  0.00

Summary:
E: -5.28 eV/atom

(3)
DFT (GGA+U) results for a geometry-optimized Mn2PdSeF structure.

a b c (Å): 5.0359 4.6874 5.0359
angles (deg): 90.00 90.00 90.00
Each line ends with the local moment (μB).
Fractional coordinates of all 5 atoms:
Mn1 0.0000 0.0000 0.5000  4.62
Mn2 0.5000 0.0000 0.0000  4.44
Se1 0.0000 0.0000 0.0000  -0.04
Pd1 0.0000 0.5000 0.0000  0.03
F1 0.5000 0.5000 0.5000  0.05

Summary:
E: -5.14 eV/atom

Question: The highest E belongs to which entry?
Answer: Mn2PdSeF

Question: Which of these has the lowest E?
Answer: Rb2Mn3PdF12

Question: What is the formula in the second record?
Answer: Rb2Mn3PdF12

Question: Which formula does entry 2 have?
Answer: Rb2Mn3PdF12